No. 1
Computed, not measured: KCr2 after structural relaxation at the PBE-GGA level of DFT.

```
6
Lattice="7.538 -1.465 0.000 7.538 1.465 0.000 -1.844 0.000 6.119" Properties=species:S:1:pos:R:3 pbc="T T T"
K 0.077 0.000 1.719
K 13.156 0.000 4.400
Cr 3.439 0.000 2.128
Cr 2.702 0.000 6.022
Cr 10.530 0.000 0.097
Cr 9.793 0.000 3.991
```

***

No. 2
Computed, not measured: KCr after structural relaxation at the PBE-GGA level of DFT.

```
12
Lattice="10.092 0.000 0.000 0.000 10.092 0.000 0.000 0.000 10.092" Properties=species:S:1:pos:R:3 pbc="T T T"
K 0.000 2.523 5.046
K 0.000 7.569 5.046
K 2.523 5.046 0.000
K 5.046 0.000 2.523
K 5.046 0.000 7.569
K 7.569 5.046 0.000
Cr 0.000 5.046 2.523
Cr 0.000 5.046 7.569
Cr 2.523 0.000 5.046
Cr 5.046 2.523 0.000
Cr 5.046 7.569 0.000
Cr 7.569 0.000 5.046
```

***

No. 3
Computed, not measured: K2Cr after structural relaxation at the PBE-GGA level of DFT.

```
6
Lattice="8.532 -2.132 0.000 8.532 2.132 0.000 -2.191 0.000 8.037" Properties=species:S:1:pos:R:3 pbc="T T T"
K 1.860 0.000 0.494
K 1.318 0.000 4.769
K 13.556 0.000 3.268
K 13.013 0.000 7.544
Cr 6.972 0.000 5.470
Cr 7.902 0.000 2.568
```

***

No. 4
Computed, not measured: KCr2 after structural relaxation at the PBE-GGA level of DFT.

```
6
Lattice="-3.969 3.969 2.848 3.969 -3.969 2.848 3.969 3.969 -2.848" Properties=species:S:1:pos:R:3 pbc="T T T"
K 0.000 0.000 1.424
K 0.000 0.000 4.272
Cr 4.961 0.992 0.000
Cr 0.992 2.978 0.000
Cr 2.978 0.992 2.848
Cr -0.992 2.978 2.848
```

***

No. 5
Computed, not measured: KCr after structural relaxation at the PBE-GGA level of DFT.

```
6
Lattice="7.229 -1.811 0.000 7.229 1.811 0.000 -1.383 0.000 8.465" Properties=species:S:1:pos:R:3 pbc="T T T"
K 0.000 0.000 0.000
K -0.439 0.000 4.620
K 10.394 0.000 2.660
Cr 2.743 0.000 8.145
Cr 3.581 0.000 5.941
Cr 8.843 0.000 7.069
```

***

No. 6
Computed, not measured: K2Cr after structural relaxation at the PBE-GGA level of DFT.

```
6
Lattice="6.350 0.000 0.000 -3.175 5.499 0.000 0.000 0.000 7.928" Properties=species:S:1:pos:R:3 pbc="T T T"
K 0.000 0.000 0.000
K 0.000 0.000 3.964
K 0.000 3.666 1.982
K 3.175 1.833 5.946
Cr 0.000 3.666 5.946
Cr 3.175 1.833 1.982
```

***

No. 7
Computed, not measured: KCr after structural relaxation at the PBE-GGA level of DFT.

```
8
Lattice="0.000 5.279 7.749 3.311 0.000 7.749 3.311 5.279 0.000" Properties=species:S:1:pos:R:3 pbc="T T T"
K 2.483 0.428 5.812
K 4.138 3.068 9.687
K 2.483 7.491 5.812
K 4.138 10.131 9.687
Cr 2.483 3.960 4.948
Cr 2.483 3.960 6.676
Cr 4.138 6.599 8.823
Cr 4.138 6.599 10.551
```

***

No. 8
Computed, not measured: K3Cr after structural relaxation at the PBE-GGA level of DFT.

```
4
Lattice="6.382 3.685 1.442 -6.382 3.685 1.442 0.000 -7.369 1.442" Properties=species:S:1:pos:R:3 pbc="T T T"
K -3.191 -1.842 1.442
K -3.191 1.842 2.884
K 0.000 3.685 1.442
Cr 0.000 0.000 0.000
```

***

No. 9
Computed, not measured: KCr after structural relaxation at the PBE-GGA level of DFT.

```
8
Lattice="-5.768 5.768 2.044 5.768 -5.768 2.044 5.768 5.768 -2.044" Properties=species:S:1:pos:R:3 pbc="T T T"
K 1.829 1.829 0.000
K 3.939 -3.939 2.044
K -3.939 3.939 2.044
K 3.939 3.939 2.044
Cr 5.768 0.979 0.000
Cr 0.979 5.768 0.000
Cr 4.789 0.000 2.044
Cr 0.000 4.789 2.044
```

***

No. 10
Computed, not measured: K3Cr after structural relaxation at the PBE-GGA level of DFT.

```
4
Lattice="-3.287 3.287 4.543 3.287 -3.287 4.543 3.287 3.287 -4.543" Properties=species:S:1:pos:R:3 pbc="T T T"
K 0.000 0.000 0.000
K 3.287 0.000 2.271
K 0.000 3.287 2.271
Cr 0.000 0.000 4.543
```

***

No. 11
Computed, not measured: KCr after structural relaxation at the PBE-GGA level of DFT.

```
8
Lattice="-7.249 7.249 1.469 7.249 -7.249 1.469 7.249 7.249 -1.469" Properties=species:S:1:pos:R:3 pbc="T T T"
K 10.923 0.317 0.000
K 0.317 3.575 0.000
K 6.932 3.674 1.469
K -3.674 6.932 1.469
Cr 10.168 3.638 0.000
Cr 3.638 4.330 0.000
Cr 3.611 2.919 1.469
Cr -2.919 3.611 1.469
```

***

No. 12
Computed, not measured: K2Cr after structural relaxation at the PBE-GGA level of DFT.

```
6
Lattice="8.944 0.000 0.000 0.000 9.155 0.000 0.000 0.000 3.613" Properties=species:S:1:pos:R:3 pbc="T T T"
K 1.712 1.566 0.000
K 2.760 6.143 1.806
K 6.185 3.011 1.806
K 7.232 7.589 0.000
Cr 0.000 4.577 0.000
Cr 4.472 0.000 1.806
```

***

What are the energy above the lowest structure with this stoichiometry values for these records? In order: 377.7, 948.5, 50.5, 1065.7, 260.5, 81.6, 567.1, 102.9, 238.2, 40.3, 547.9, 134.5 meV per atom.
What are the formation enthalpy at 0 K values for these records? In order: 3.308, 3.246, 2.456, 5.372, 1.870, 2.549, 2.483, 2.832, 1.825, 2.582, 2.445, 2.708 eV per formula unit.